CoMo2Pb: optimized geometry, PBE-GGA.

a b c (Å): 6.4114 6.4114 6.4114
angles (deg): 90.00 90.00 90.00
Closest atoms and distances in Å follow each position.
Space group F-43m (No. 216)
Asymmetric unit:
Co: 0.0000 0.0000 0.0000 x4  4 Pb 2.78, 4 Mo 2.78
Mo: 0.0000 0.0000 0.5000 x4  4 Mo 2.78, 4 Pb 2.78
Mo: 0.2500 0.2500 0.7500 x4  4 Mo 2.78, 4 Co 2.78
Pb: 0.2500 0.2500 0.2500 x4  4 Mo 2.78, 4 Co 2.78

Crystal system: cubic

***

CoMo3Pb: optimized geometry, PBE-GGA.

a b c (Å): 4.5311 4.5311 4.5311
angles (deg): 90.00 90.00 90.00
Closest atoms and distances in Å follow each position.
Space group Pm-3m (No. 221)
Asymmetric unit:
Co: 0.0000 0.0000 0.0000 x1  6 Mo 2.27
Mo: 0.0000 0.0000 0.5000 x3  2 Co 2.27
Pb: 0.5000 0.5000 0.5000 x1  12 Mo 3.20

Crystal system: cubic
ΔE to the lowest computed polymorph, meV/atom: 0

***

Number 1: Fermi-level density of states 1.1782 states/eV/atom, ΔH_f (0 K) 604 meV per atom. Number 2: Fermi-level density of states 0.9215 states/eV/atom, ΔH_f (0 K) 1101 meV per atom.